Entry 1:
# Na2Al3Ag2, optimized geometry, DFT GGA-PBE
# Total DFT energy (no corrections) ... -19.78 eV per formula unit
# N(E_F) ... 0.1984 states/eV/atom
# E_form ... -0.030 eV per atom
# SG ... C2/m
data_Na2Al3Ag2
_chemical_formula_sum 'Na4 Al6 Ag4'
_symmetry_space_group_name_H-M 'P 1'
_symmetry_Int_Tables_number 1
_symmetry_space_group_name_Hall 'P 1'
_cell_length_a 10.474
_cell_length_b 4.487
_cell_length_c 6.942
_cell_angle_alpha 90.00
_cell_angle_beta 116.00
_cell_angle_gamma 90.00
loop_
_atom_site_label
_atom_site_type_symbol
_atom_site_fract_x
_atom_site_fract_y
_atom_site_fract_z
Na1 Na 0.154 0.000 0.278
Na2 Na 0.346 0.500 0.722
Na3 Na 0.654 0.500 0.278
Na4 Na 0.846 0.000 0.722
Al1 Al 0.000 0.500 0.500
Al2 Al 0.132 0.500 0.942
Al3 Al 0.368 0.000 0.058
Al4 Al 0.500 0.000 0.500
Al5 Al 0.632 0.000 0.942
Al6 Al 0.868 0.500 0.058
Ag1 Ag 0.122 0.000 0.713
Ag2 Ag 0.378 0.500 0.287
Ag3 Ag 0.622 0.500 0.713
Ag4 Ag 0.878 0.000 0.287

=====

Entry 2:
# NaAlAg, optimized geometry, DFT GGA-PBE
# Total DFT energy (no corrections) ... -7.97 eV per formula unit
# N(E_F) ... 0.2138 states/eV/atom
# E_form ... -0.021 eV per atom
# SG ... P-1
data_NaAlAg
_chemical_formula_sum 'Na2 Al2 Ag2'
_symmetry_space_group_name_H-M 'P 1'
_symmetry_Int_Tables_number 1
_symmetry_space_group_name_Hall 'P 1'
_cell_length_a 2.876
_cell_length_b 5.614
_cell_length_c 8.162
_cell_angle_alpha 108.38
_cell_angle_beta 90.20
_cell_angle_gamma 103.50
loop_
_atom_site_label
_atom_site_type_symbol
_atom_site_fract_x
_atom_site_fract_y
_atom_site_fract_z
Na1 Na 0.151 0.308 0.116
Na2 Na 0.849 0.692 0.884
Al1 Al 0.139 0.287 0.509
Al2 Al 0.861 0.713 0.491
Ag1 Ag 0.455 0.900 0.268
Ag2 Ag 0.545 0.100 0.732

=====

Entry 3:
# NaAl6Ag3, optimized geometry, DFT GGA-PBE
# Total DFT energy (no corrections) ... -32.09 eV per formula unit
# N(E_F) ... 0.2178 states/eV/atom
# E_form ... 0.023 eV per atom
# SG ... P2_1/c
data_NaAl6Ag3
_chemical_formula_sum 'Na2 Al12 Ag6'
_symmetry_space_group_name_H-M 'P 1'
_symmetry_Int_Tables_number 1
_symmetry_space_group_name_Hall 'P 1'
_cell_length_a 7.063
_cell_length_b 6.962
_cell_length_c 8.612
_cell_angle_alpha 90.00
_cell_angle_beta 118.54
_cell_angle_gamma 90.00
loop_
_atom_site_label
_atom_site_type_symbol
_atom_site_fract_x
_atom_site_fract_y
_atom_site_fract_z
Na1 Na 0.000 0.000 0.000
Na2 Na 0.000 0.500 0.500
Al1 Al 0.168 0.008 0.663
Al2 Al 0.168 0.492 0.163
Al3 Al 0.268 0.664 0.876
Al4 Al 0.268 0.836 0.376
Al5 Al 0.460 0.182 0.265
Al6 Al 0.460 0.318 0.765
Al7 Al 0.540 0.682 0.235
Al8 Al 0.540 0.818 0.735
Al9 Al 0.732 0.164 0.624
Al10 Al 0.732 0.336 0.124
Al11 Al 0.832 0.508 0.837
Al12 Al 0.832 0.992 0.337
Ag1 Ag 0.167 0.200 0.377
Ag2 Ag 0.167 0.300 0.877
Ag3 Ag 0.500 0.000 0.000
Ag4 Ag 0.500 0.500 0.500
Ag5 Ag 0.833 0.700 0.123
Ag6 Ag 0.833 0.800 0.623

=====

Entry 4:
# NaAl2Ag, optimized geometry, DFT GGA-PBE
# Total DFT energy (no corrections) ... -11.15 eV per formula unit
# N(E_F) ... 0.3592 states/eV/atom
# E_form ... 0.126 eV per atom
# SG ... R-3m
data_NaAl2Ag
_chemical_formula_sum 'Na3 Al6 Ag3'
_symmetry_space_group_name_H-M 'P 1'
_symmetry_Int_Tables_number 1
_symmetry_space_group_name_Hall 'P 1'
_cell_length_a 3.013
_cell_length_b 3.013
_cell_length_c 29.545
_cell_angle_alpha 90.00
_cell_angle_beta 90.00
_cell_angle_gamma 120.00
loop_
_atom_site_label
_atom_site_type_symbol
_atom_site_fract_x
_atom_site_fract_y
_atom_site_fract_z
Na1 Na 0.000 0.000 0.000
Na2 Na 0.333 0.667 0.667
Na3 Na 0.667 0.333 0.333
Al1 Al 0.000 0.000 0.242
Al2 Al 0.000 0.000 0.758
Al3 Al 0.333 0.667 0.425
Al4 Al 0.333 0.667 0.909
Al5 Al 0.667 0.333 0.091
Al6 Al 0.667 0.333 0.575
Ag1 Ag 0.000 0.000 0.500
Ag2 Ag 0.333 0.667 0.167
Ag3 Ag 0.667 0.333 0.833

=====

Entry 5:
# NaAlAg3, optimized geometry, DFT GGA-PBE
# Total DFT energy (no corrections) ... -9.32 eV per formula unit
# N(E_F) ... 0.3858 states/eV/atom
# E_form ... 0.859 eV per atom
# SG ... Pm-3m
# ΔE to the lowest computed polymorph ... 881 meV/atom
data_NaAlAg3
_chemical_formula_sum 'Na1 Al1 Ag3'
_symmetry_space_group_name_H-M 'P 1'
_symmetry_Int_Tables_number 1
_symmetry_space_group_name_Hall 'P 1'
_cell_length_a 4.965
_cell_length_b 4.965
_cell_length_c 4.965
_cell_angle_alpha 90.00
_cell_angle_beta 90.00
_cell_angle_gamma 90.00
loop_
_atom_site_label
_atom_site_type_symbol
_atom_site_fract_x
_atom_site_fract_y
_atom_site_fract_z
Na1 Na 0.000 0.000 0.000
Al1 Al 0.500 0.500 0.500
Ag1 Ag 0.000 0.000 0.500
Ag2 Ag 0.000 0.500 0.000
Ag3 Ag 0.500 0.000 0.000

=====

Entry 6:
# NaAlAg3, optimized geometry, DFT GGA-PBE
# Total DFT energy (no corrections) ... -13.62 eV per formula unit
# N(E_F) ... 0.2689 states/eV/atom
# E_form ... -0.001 eV per atom
# SG ... P1
# ΔE to the lowest computed polymorph ... 21 meV/atom
data_NaAlAg3
_chemical_formula_sum 'Na2 Al2 Ag6'
_symmetry_space_group_name_H-M 'P 1'
_symmetry_Int_Tables_number 1
_symmetry_space_group_name_Hall 'P 1'
_cell_length_a 5.953
_cell_length_b 6.373
_cell_length_c 6.959
_cell_angle_alpha 99.98
_cell_angle_beta 115.29
_cell_angle_gamma 107.94
loop_
_atom_site_label
_atom_site_type_symbol
_atom_site_fract_x
_atom_site_fract_y
_atom_site_fract_z
Na1 Na 0.000 0.000 0.000
Na2 Na 0.413 0.618 0.109
Al1 Al 0.078 0.709 0.357
Al2 Al 0.739 0.242 0.246
Ag1 Ag 0.347 0.489 0.573
Ag2 Ag 0.410 0.950 0.825
Ag3 Ag 0.497 0.102 0.480
Ag4 Ag 0.763 0.431 0.939
Ag5 Ag 0.867 0.580 0.610
Ag6 Ag 0.974 0.045 0.526

=====

Which value of E_form does entry 6 give?
-0.001 eV per atom

=====

The lowest N(E_F) belongs to which entry?
Na2Al3Ag2